1.
Entry from Alexandria: an optimized crystal structure of PmDy3Y2 (GGA-PBE).

Cell: 7.1388 6.1829 11.8318 Å, 110.36 90.03 125.26°
Closest atoms and distances in Å follow each position.
Positions (direct):
1 Pm 0.1252 0.0000 0.2500  8 Dy 3.56-3.57, 4 Y 3.56-3.57
2 Dy 0.3748 0.0000 0.7500  6 Y 3.57, 2 Pm 3.57, 4 Dy 3.57
3 Y 0.5421 0.3337 0.0839  8 Dy 3.57, 2 Pm 3.57, 2 Y 3.57-3.58
4 Dy 0.7087 0.6674 0.4173  3 Pm 3.56-3.57, 4 Dy 3.56-3.57, 5 Y 3.57
5 Y 0.2081 0.6662 0.4161  2 Pm 3.56-3.57, 8 Dy 3.57, 2 Y 3.57-3.58
6 Dy 0.6252 0.0000 0.2500  6 Y 3.57, 2 Pm 3.57, 4 Dy 3.57
7 Y 0.4579 0.6663 0.9161  8 Dy 3.57, 2 Pm 3.57, 2 Y 3.57-3.58
8 Pm 0.8748 0.0000 0.7500  8 Dy 3.56-3.57, 4 Y 3.56-3.57
9 Dy 0.0415 0.3326 0.0827  3 Pm 3.56-3.57, 4 Dy 3.56-3.57, 5 Y 3.57
10 Dy 0.2913 0.3326 0.5827  3 Pm 3.56-3.57, 4 Dy 3.56-3.57, 5 Y 3.57
11 Dy 0.9585 0.6674 0.9173  3 Pm 3.56-3.57, 4 Dy 3.56-3.57, 5 Y 3.57
12 Y 0.7919 0.3338 0.5839  2 Pm 3.56-3.57, 8 Dy 3.57, 2 Y 3.57-3.58

Computed properties:
Final energy ... -5.23 eV per atom
Density of states at the Fermi level ... 1.388 states/eV per atom
Space-group type ... No. 70


2.
Entry from Alexandria: an optimized crystal structure of LaSm3Y2 (GGA-PBE).

Cell: 7.2502 6.2794 12.0414 Å, 110.34 90.02 125.23°
Closest atoms and distances in Å follow each position.
Positions (direct):
1 Sm 0.2912 0.3326 0.5828  5 Y 3.62-3.65, 4 Sm 3.62-3.63, 3 La 3.63
2 Y 0.7911 0.3325 0.5826  2 Y 3.62, 8 Sm 3.62-3.65, 2 La 3.63
3 Sm 0.7088 0.6674 0.4172  5 Y 3.62-3.65, 4 Sm 3.62-3.63, 3 La 3.63
4 La 0.8745 0.0000 0.7501  8 Sm 3.62-3.63, 4 Y 3.63
5 Sm 0.3748 0.0000 0.7499  6 Y 3.62-3.63, 2 La 3.62-3.63, 4 Sm 3.63
6 Y 0.2089 0.6675 0.4174  2 Y 3.62, 8 Sm 3.62-3.65, 2 La 3.63
7 Sm 0.0414 0.3325 0.0827  4 Sm 3.62-3.63, 5 Y 3.62-3.65, 3 La 3.62-3.63
8 Y 0.5415 0.3325 0.0826  2 Y 3.62, 8 Sm 3.62-3.65, 2 La 3.63
9 Sm 0.9586 0.6675 0.9173  4 Sm 3.62-3.63, 5 Y 3.62-3.65, 3 La 3.62-3.63
10 Y 0.4585 0.6675 0.9174  2 Y 3.62, 8 Sm 3.62-3.65, 2 La 3.63
11 Sm 0.6252 0.0000 0.2501  6 Y 3.62-3.63, 2 La 3.62-3.63, 4 Sm 3.63
12 La 0.1255 0.0000 0.2499  8 Sm 3.62-3.63, 4 Y 3.63

Computed properties:
Final energy ... -5.32 eV per atom
Density of states at the Fermi level ... 1.379 states/eV per atom
Space-group type ... No. 15


| no. | ΔE to the lowest computed polymorph (kJ per mole of atoms) |
| --- | --- |
| 1 | 0.0 |
| 2 | 0.0 |